A plane-wave DFT calculation with GGA-PBEsol was carried out for crystalline CuHg2Ir at its relaxed geometry.

Summary:
The calculation puts the distance to the lowest polymorph of the same formula at 107.7 meV per atom. Its formation energy is 0.46 eV/atom. As for the density: 16.6 Mg/m³. As for the density of states at the Fermi level: 0.47 states/eV/atom.

Cell lengths 6.4061, 6.4061, 6.4061 Å; angles 90.00, 90.00, 90.00 degrees
Space group F-43m (No. 216)
Symmetry-distinct sites (fractional):
Cu1 0.0000 0.0000 0.0000 (multiplicity 4)
Hg1 0.0000 0.0000 0.5000 (multiplicity 4)
Hg2 0.2500 0.2500 0.7500 (multiplicity 4)
Ir1 0.2500 0.2500 0.2500 (multiplicity 4)

=====

A plane-wave DFT calculation with GGA-PBEsol was carried out for crystalline CuHgIr2 at its relaxed geometry.

Summary:
The calculation puts the distance to the lowest polymorph of the same formula at 0.0 meV per atom. Its formation energy is 0.30 eV/atom. As for the density: 18.2 Mg/m³. As for the density of states at the Fermi level: 1.10 states/eV/atom.

Cell lengths 9.1475, 2.7762, 4.7647 Å; angles 90.00, 101.92, 90.00 degrees
Space group C2/m (No. 12)
Symmetry-distinct sites (fractional):
Cu1 0.0000 0.0000 0.0000 (multiplicity 2)
Hg1 0.0000 0.5000 0.5000 (multiplicity 2)
Ir1 0.2387 0.5000 0.2278 (multiplicity 4)

=====

A plane-wave DFT calculation with GGA-PBEsol was carried out for crystalline Cu2HgIr at its relaxed geometry.

Summary:
The calculation puts the distance to the lowest polymorph of the same formula at 82.5 meV per atom. Its formation energy is 0.32 eV/atom. As for the density: 14.9 Mg/m³. As for the density of states at the Fermi level: 0.69 states/eV/atom.

Cell lengths 2.9598, 4.5188, 8.6582 Å; angles 90.00, 90.00, 90.00 degrees
Space group Immm (No. 71)
Symmetry-distinct sites (fractional):
Cu1 0.0000 0.0000 0.2432 (multiplicity 4)
Hg1 0.0000 0.5000 0.0000 (multiplicity 2)
Ir1 0.0000 0.5000 0.5000 (multiplicity 2)

=====

A plane-wave DFT calculation with GGA-PBEsol was carried out for crystalline Cu2HgIr at its relaxed geometry.

Summary:
The calculation puts the distance to the lowest polymorph of the same formula at 107.5 meV per atom. Its formation energy is 0.35 eV/atom. As for the density: 14.8 Mg/m³. As for the density of states at the Fermi level: 0.67 states/eV/atom.

Cell lengths 2.8046, 4.6551, 8.9348 Å; angles 90.00, 90.00, 90.00 degrees
Space group Cmm2 (No. 35)
Symmetry-distinct sites (fractional):
Cu1 0.0000 0.0000 0.0000 (multiplicity 2)
Cu2 0.0000 0.5000 0.2195 (multiplicity 2)
Hg1 0.0000 0.0000 0.4819 (multiplicity 2)
Ir1 0.0000 0.5000 0.7640 (multiplicity 2)

=====

A plane-wave DFT calculation with GGA-PBEsol was carried out for crystalline CuHgIr4 at its relaxed geometry.

Summary:
Its formation energy is 0.67 eV/atom. As for the density: 17.8 Mg/m³. As for the density of states at the Fermi level: 1.89 states/eV/atom.

Cell lengths 7.2801, 7.2801, 7.2801 Å; angles 90.00, 90.00, 90.00 degrees
Space group F-43m (No. 216)
Symmetry-distinct sites (fractional):
Cu1 0.0000 0.0000 0.0000 (multiplicity 4)
Hg1 0.2500 0.2500 0.2500 (multiplicity 4)
Ir1 0.1252 0.1252 0.6252 (multiplicity 16)

=====

A plane-wave DFT calculation with GGA-PBEsol was carried out for crystalline Cu2HgIr at its relaxed geometry.

Summary:
The calculation puts the distance to the lowest polymorph of the same formula at 6.1 meV per atom. Its formation energy is 0.25 eV/atom. As for the density: 15.4 Mg/m³. As for the density of states at the Fermi level: 0.76 states/eV/atom.

Cell lengths 9.4178, 2.8835, 4.4273 Å; angles 90.00, 111.20, 90.00 degrees
Space group Cm (No. 8)
Symmetry-distinct sites (fractional):
Cu1 0.0000 0.0000 0.0000 (multiplicity 2)
Cu2 0.2262 0.5000 0.3043 (multiplicity 2)
Hg1 0.4800 0.0000 0.4886 (multiplicity 2)
Ir1 0.2514 0.0000 0.8287 (multiplicity 2)

=====

A plane-wave DFT calculation with GGA-PBEsol was carried out for crystalline CuHgIr2 at its relaxed geometry.

Summary:
The calculation puts the distance to the lowest polymorph of the same formula at 181.4 meV per atom. Its formation energy is 0.48 eV/atom. As for the density: 17.9 Mg/m³. As for the density of states at the Fermi level: 1.32 states/eV/atom.

Cell lengths 2.8313, 4.6470, 9.1501 Å; angles 90.00, 90.00, 90.00 degrees
Space group Imm2 (No. 44)
Symmetry-distinct sites (fractional):
Cu1 0.0000 0.0000 0.0000 (multiplicity 2)
Hg1 0.0000 0.5000 0.7521 (multiplicity 2)
Ir1 0.0000 0.0000 0.5225 (multiplicity 2)
Ir2 0.0000 0.5000 0.2611 (multiplicity 2)

=====

A plane-wave DFT calculation with GGA-PBEsol was carried out for crystalline CuHgIr2 at its relaxed geometry.

Summary:
The calculation puts the distance to the lowest polymorph of the same formula at 305.5 meV per atom. Its formation energy is 0.61 eV/atom. As for the density: 18.1 Mg/m³. As for the density of states at the Fermi level: 1.91 states/eV/atom.

Cell lengths 6.1971, 6.1971, 6.1971 Å; angles 90.00, 90.00, 90.00 degrees
Space group Fm-3m (No. 225)
Symmetry-distinct sites (fractional):
Cu1 0.0000 0.0000 0.0000 (multiplicity 4)
Hg1 0.0000 0.0000 0.5000 (multiplicity 4)
Ir1 0.2500 0.2500 0.2500 (multiplicity 8)

=====

A plane-wave DFT calculation with GGA-PBEsol was carried out for crystalline CuHg2Ir at its relaxed geometry.

Summary:
The calculation puts the distance to the lowest polymorph of the same formula at 50.5 meV per atom. Its formation energy is 0.40 eV/atom. As for the density: 16.4 Mg/m³. As for the density of states at the Fermi level: 0.56 states/eV/atom.

Cell lengths 2.9524, 4.9511, 9.0915 Å; angles 90.00, 90.00, 90.00 degrees
Space group Cmmm (No. 65)
Symmetry-distinct sites (fractional):
Cu1 0.0000 0.0000 0.0000 (multiplicity 2)
Hg1 0.0000 0.5000 0.2406 (multiplicity 4)
Ir1 0.0000 0.0000 0.5000 (multiplicity 2)

=====

A plane-wave DFT calculation with GGA-PBEsol was carried out for crystalline Cu2HgIr at its relaxed geometry.

Summary:
The calculation puts the distance to the lowest polymorph of the same formula at 0.0 meV per atom. Its formation energy is 0.24 eV/atom. As for the density: 15.3 Mg/m³. As for the density of states at the Fermi level: 0.63 states/eV/atom.

Cell lengths 2.9228, 2.9228, 6.5863 Å; angles 90.00, 90.00, 90.00 degrees
Space group P4mm (No. 99)
Symmetry-distinct sites (fractional):
Cu1 0.0000 0.0000 0.0000 (multiplicity 1)
Cu2 0.5000 0.5000 0.2007 (multiplicity 1)
Hg1 0.0000 0.0000 0.4735 (multiplicity 1)
Ir1 0.5000 0.5000 0.7749 (multiplicity 1)

=====

A plane-wave DFT calculation with GGA-PBEsol was carried out for crystalline Sr2CuHgIr at its relaxed geometry.

Summary:
Its formation energy is 0.26 eV/atom. As for the density: 6.5 Mg/m³. As for the density of states at the Fermi level: 0.57 states/eV/atom.

Cell lengths 5.6321, 5.6321, 5.1089 Å; angles 90.00, 90.00, 90.00 degrees
Space group P4/mmm (No. 123)
Symmetry-distinct sites (fractional):
Sr1 0.0000 0.5000 0.0000 (multiplicity 2)
Cu1 0.0000 0.0000 0.5000 (multiplicity 1)
Hg1 0.5000 0.5000 0.5000 (multiplicity 1)
Ir1 0.5000 0.5000 0.0000 (multiplicity 1)

=====

A plane-wave DFT calculation with GGA-PBEsol was carried out for crystalline KCuHg3 at its relaxed geometry.

Summary:
Its formation energy is -0.07 eV/atom. As for the density: 8.9 Mg/m³. As for the density of states at the Fermi level: 0.44 states/eV/atom.

Cell lengths 5.0925, 5.0925, 5.0925 Å; angles 90.00, 90.00, 90.00 degrees
Space group Pm-3m (No. 221)
Symmetry-distinct sites (fractional):
K1 0.0000 0.0000 0.0000 (multiplicity 1)
Cu1 0.5000 0.5000 0.5000 (multiplicity 1)
Hg1 0.0000 0.5000 0.5000 (multiplicity 3)

=====

A plane-wave DFT calculation with GGA-PBEsol was carried out for crystalline KCuHg at its relaxed geometry.

Summary:
Its formation energy is 0.12 eV/atom. As for the density: 6.5 Mg/m³. As for the density of states at the Fermi level: 0.32 states/eV/atom.

Cell lengths 3.6212, 3.6212, 11.7401 Å; angles 90.00, 90.00, 90.00 degrees
Space group I4mm (No. 107)
Symmetry-distinct sites (fractional):
K1 0.0000 0.0000 0.0000 (multiplicity 2)
Cu1 0.0000 0.0000 0.2668 (multiplicity 2)
Hg1 0.0000 0.0000 0.7245 (multiplicity 2)

=====

A plane-wave DFT calculation with GGA-PBEsol was carried out for crystalline LaCuHg2 at its relaxed geometry.

Summary:
Its formation energy is -0.22 eV/atom. As for the density: 11.8 Mg/m³. As for the density of states at the Fermi level: 0.69 states/eV/atom.

Cell lengths 3.3802, 3.3802, 7.4340 Å; angles 90.00, 90.00, 90.00 degrees
Space group P4/mmm (No. 123)
Symmetry-distinct sites (fractional):
La1 0.0000 0.0000 0.0000 (multiplicity 1)
Cu1 0.0000 0.0000 0.5000 (multiplicity 1)
Hg1 0.5000 0.5000 0.3020 (multiplicity 2)

=====

A plane-wave DFT calculation with GGA-PBEsol was carried out for crystalline LaCuHg2 at its relaxed geometry.

Summary:
Its formation energy is -0.30 eV/atom. As for the density: 11.5 Mg/m³. As for the density of states at the Fermi level: 0.50 states/eV/atom.

Cell lengths 7.0431, 7.0431, 7.0431 Å; angles 90.00, 90.00, 90.00 degrees
Space group F-43m (No. 216)
Symmetry-distinct sites (fractional):
La1 0.0000 0.0000 0.0000 (multiplicity 4)
Cu1 0.2500 0.2500 0.7500 (multiplicity 4)
Hg1 0.0000 0.0000 0.5000 (multiplicity 4)
Hg2 0.2500 0.2500 0.2500 (multiplicity 4)